# Zn3GaAg5 PBE relaxed
# - Energy of formation from the pure elements: 175 meV per atom
# - Crystal system: monoclinic
# - E_tot: -0.0797 hartree per atom
data_Zn3GaAg5
_symmetry_space_group_name_H-M 'C 1 2/m 1'
_symmetry_Int_Tables_number 12
_symmetry_space_group_name_Hall '-C 2y'
_cell_length_a 9.807
_cell_length_b 7.890
_cell_length_c 9.333
_cell_angle_alpha 90.00
_cell_angle_beta 99.95
_cell_angle_gamma 90.00
loop_
_atom_site_label
_atom_site_type_symbol
_atom_site_fract_x
_atom_site_fract_y
_atom_site_fract_z
Zn1 Zn 0.000 0.000 0.000
Zn2 Zn 0.000 0.000 0.500
Zn3 Zn 0.140 0.500 0.202
Zn4 Zn 0.231 0.500 0.461
Ga1 Ga 0.139 0.000 0.279
Ag1 Ag 0.000 0.315 0.000
Ag2 Ag 0.059 0.500 0.647
Ag3 Ag 0.123 0.179 0.766
Ag4 Ag 0.232 0.500 0.941